Record 1
Material: Be3SbCl
Method: DFT, PBE
State: relaxed

Geometry as CIF:
```
data_Be3SbCl
_chemical_formula_sum 'Be3 Sb1 Cl1'
_space_group_name_H-M_alt 'P m -3 m'
_space_group_IT_number 221
_space_group_name_Hall '-P 4 2 3'
_cell_length_a 4.843
_cell_length_b 4.843
_cell_length_c 4.843
_cell_angle_alpha 90.00
_cell_angle_beta 90.00
_cell_angle_gamma 90.00
loop_
_atom_site_label
_atom_site_type_symbol
_atom_site_fract_x
_atom_site_fract_y
_atom_site_fract_z
_atom_site_occupancy
Be1 Be 0.000 0.000 0.500 1
Sb1 Sb 0.000 0.000 0.000 1
Cl1 Cl 0.500 0.500 0.500 1
```

## Properties
* relative energy among the computed polymorphs: 0.000 eV/atom
* DOS(E_F): 2.6 states/eV/f.u.

---

Record 2
Material: BeSbCl2
Method: DFT, PBE
State: relaxed

Geometry as CIF:
```
data_BeSbCl2
_chemical_formula_sum 'Be2 Sb2 Cl4'
_space_group_name_H-M_alt 'I -4 m 2'
_space_group_IT_number 119
_space_group_name_Hall 'I -4 -2'
_cell_length_a 3.899
_cell_length_b 3.899
_cell_length_c 11.989
_cell_angle_alpha 90.00
_cell_angle_beta 90.00
_cell_angle_gamma 90.00
loop_
_atom_site_label
_atom_site_type_symbol
_atom_site_fract_x
_atom_site_fract_y
_atom_site_fract_z
_atom_site_occupancy
Be1 Be 0.000 0.000 0.000 1
Sb1 Sb 0.000 0.500 0.250 1
Cl1 Cl 0.000 0.000 0.500 1
Cl2 Cl 0.000 0.500 0.750 1
```

## Properties
* relative energy among the computed polymorphs: 1.104 eV/atom
* DOS(E_F): 2.9 states/eV/f.u.

---

Record 3
Material: BeSb2Cl
Method: DFT, PBE
State: relaxed

Geometry as CIF:
```
data_BeSb2Cl
_chemical_formula_sum 'Be1 Sb2 Cl1'
_space_group_name_H-M_alt 'P 4/m m m'
_space_group_IT_number 123
_space_group_name_Hall '-P 4 2'
_cell_length_a 4.259
_cell_length_b 4.259
_cell_length_c 5.175
_cell_angle_alpha 90.00
_cell_angle_beta 90.00
_cell_angle_gamma 90.00
loop_
_atom_site_label
_atom_site_type_symbol
_atom_site_fract_x
_atom_site_fract_y
_atom_site_fract_z
_atom_site_occupancy
Be1 Be 0.000 0.000 0.000 1
Sb1 Sb 0.000 0.500 0.500 1
Cl1 Cl 0.500 0.500 0.000 1
```

## Properties
* relative energy among the computed polymorphs: 0.760 eV/atom
* DOS(E_F): 3.5 states/eV/f.u.

---

Record 4
Material: Be2SbCl
Method: DFT, PBE
State: relaxed

Geometry as CIF:
```
data_Be2SbCl
_chemical_formula_sum 'Be6 Sb3 Cl3'
_space_group_name_H-M_alt 'R 3 m'
_space_group_IT_number 160
_space_group_name_Hall 'R 3 -2"'
_cell_length_a 3.1915
_cell_length_b 3.1915
_cell_length_c 29.7674
_cell_angle_alpha 90.00
_cell_angle_beta 90.00
_cell_angle_gamma 120.00
loop_
_atom_site_label
_atom_site_type_symbol
_atom_site_fract_x
_atom_site_fract_y
_atom_site_fract_z
_atom_site_occupancy
Be1 Be 0.0000 0.0000 0.0000 1
Be2 Be 0.0000 0.0000 0.2734 1
Sb1 Sb 0.0000 0.0000 0.5439 1
Cl1 Cl 0.0000 0.0000 0.7066 1
```

## Properties
* relative energy among the computed polymorphs: 0.261 eV/atom
* DOS(E_F): 2.7 states/eV/f.u.

---

Record 5
Material: BeSb2Cl
Method: DFT, PBE
State: relaxed

Geometry as CIF:
```
data_BeSb2Cl
_chemical_formula_sum 'Be1 Sb2 Cl1'
_space_group_name_H-M_alt 'P 4/m m m'
_space_group_IT_number 123
_space_group_name_Hall '-P 4 2'
_cell_length_a 5.142
_cell_length_b 5.142
_cell_length_c 3.235
_cell_angle_alpha 90.00
_cell_angle_beta 90.00
_cell_angle_gamma 90.00
loop_
_atom_site_label
_atom_site_type_symbol
_atom_site_fract_x
_atom_site_fract_y
_atom_site_fract_z
_atom_site_occupancy
Be1 Be 0.000 0.000 0.000 1
Sb1 Sb 0.000 0.500 0.500 1
Cl1 Cl 0.500 0.500 0.000 1
```

## Properties
* relative energy among the computed polymorphs: 0.598 eV/atom
* DOS(E_F): 2.0 states/eV/f.u.

---

Record 6
Material: BeSbCl2
Method: DFT, PBE
State: relaxed

Geometry as CIF:
```
data_BeSbCl2
_chemical_formula_sum 'Be1 Sb1 Cl2'
_space_group_name_H-M_alt 'P 4 m m'
_space_group_IT_number 99
_space_group_name_Hall 'P 4 -2'
_cell_length_a 3.262
_cell_length_b 3.262
_cell_length_c 8.258
_cell_angle_alpha 90.00
_cell_angle_beta 90.00
_cell_angle_gamma 90.00
loop_
_atom_site_label
_atom_site_type_symbol
_atom_site_fract_x
_atom_site_fract_y
_atom_site_fract_z
_atom_site_occupancy
Be1 Be 0.000 0.000 0.000 1
Sb1 Sb 0.500 0.500 0.785 1
Cl1 Cl 0.000 0.000 0.560 1
Cl2 Cl 0.500 0.500 0.146 1
```

## Properties
* relative energy among the computed polymorphs: 0.632 eV/atom
* DOS(E_F): 0.1 states/eV/f.u.

---

Record 7
Material: BeSb2Cl
Method: DFT, PBE
State: relaxed

Geometry as CIF:
```
data_BeSb2Cl
_chemical_formula_sum 'Be2 Sb4 Cl2'
_space_group_name_H-M_alt 'C m m m'
_space_group_IT_number 65
_space_group_name_Hall '-C 2 2'
_cell_length_a 4.518
_cell_length_b 11.043
_cell_length_c 3.748
_cell_angle_alpha 90.00
_cell_angle_beta 90.00
_cell_angle_gamma 90.00
loop_
_atom_site_label
_atom_site_type_symbol
_atom_site_fract_x
_atom_site_fract_y
_atom_site_fract_z
_atom_site_occupancy
Be1 Be 0.000 0.000 0.000 1
Sb1 Sb 0.000 0.169 0.500 1
Cl1 Cl 0.000 0.500 0.000 1
```

## Properties
* relative energy among the computed polymorphs: 0.000 eV/atom
* DOS(E_F): 0.7 states/eV/f.u.

---

Record 8
Material: Be2SbCl
Method: DFT, PBE
State: relaxed

Geometry as CIF:
```
data_Be2SbCl
_chemical_formula_sum 'Be6 Sb3 Cl3'
_space_group_name_H-M_alt 'R -3 m'
_space_group_IT_number 166
_space_group_name_Hall '-R 3 2"'
_cell_length_a 3.9636
_cell_length_b 3.9636
_cell_length_c 18.3791
_cell_angle_alpha 90.00
_cell_angle_beta 90.00
_cell_angle_gamma 120.00
loop_
_atom_site_label
_atom_site_type_symbol
_atom_site_fract_x
_atom_site_fract_y
_atom_site_fract_z
_atom_site_occupancy
Be1 Be 0.0000 0.0000 0.1099 1
Sb1 Sb 0.0000 0.0000 0.5000 1
Cl1 Cl 0.0000 0.0000 0.0000 1
```

## Properties
* relative energy among the computed polymorphs: 0.000 eV/atom
* DOS(E_F): 0.0 states/eV/f.u.

---

Number 1: DFT total energy -2.46 eV per atom, E_form (uncorrected) 0.9702 eV/atom. Number 2: DFT total energy -2.46 eV per atom, E_form (uncorrected) 0.4212 eV/atom. Number 3: DFT total energy -2.84 eV per atom, E_form (uncorrected) 0.6173 eV/atom. Number 4: DFT total energy -3.25 eV per atom, E_form (uncorrected) 0.1060 eV/atom. Number 5: DFT total energy -3.00 eV per atom, E_form (uncorrected) 0.4557 eV/atom. Number 6: DFT total energy -2.94 eV per atom, E_form (uncorrected) -0.0516 eV/atom. Number 7: DFT total energy -3.60 eV per atom, E_form (uncorrected) -0.1423 eV/atom. Number 8: DFT total energy -3.51 eV per atom, E_form (uncorrected) -0.1553 eV/atom.